Compound: YAg3Sb
Source: Alexandria
Functional: GGA-PBE
Structure: optimized geometry

Unit cell a=5.3798 b=5.3798 c=5.3798 alpha=90.00 beta=90.00 gamma=90.00
With the nearest neighbours (Å) after each atom.
Sites, in units of the cell vectors:
Sb 0.5000 0.5000 0.5000  12 Ag 3.80
Ag 0.0000 0.5000 0.0000  2 Y 2.69
Ag 0.5000 0.0000 0.0000  2 Y 2.69
Ag 0.0000 0.0000 0.5000  2 Y 2.69
Y 0.0000 0.0000 0.0000  6 Ag 2.69

Results
E above lowest polymorph = 0.5885 eV/atom
crystal system = cubic
magnetic moment = 0.00 μB per atom



Compound: CrRe2Si
Source: Alexandria
Functional: GGA-PBE
Structure: optimized geometry

Unit cell a=2.9638 b=4.2504 c=4.2504 alpha=90.00 beta=90.00 gamma=90.00
With the nearest neighbours (Å) after each atom.
Sites, in units of the cell vectors:
Cr 0.5000 0.0000 0.5000  8 Re 2.59
Si 0.5000 0.5000 0.0000  8 Re 2.59
Re 0.0000 0.0000 0.0000  4 Si 2.59, 4 Cr 2.59
Re 0.0000 0.5000 0.5000  4 Cr 2.59, 4 Si 2.59

Results
crystal system = tetragonal
magnetic moment = 0.18 μB per atom



Compound: AlBC
Source: Alexandria
Functional: GGA-PBE
Structure: optimized geometry

Unit cell a=2.7535 b=2.7535 c=4.4338 alpha=90.00 beta=90.00 gamma=120.00
With the nearest neighbours (Å) after each atom.
Sites, in units of the cell vectors:
C 0.0000 0.0000 0.5000  3 B 1.59
B 0.3333 0.6667 0.5000  3 C 1.59
Al 0.0000 0.0000 0.0000  2 C 2.22

Results
E above lowest polymorph = 0.0000 eV/atom
crystal system = hexagonal
magnetic moment = 0.00 μB per atom



Compound: Sr3Be
Source: Alexandria
Functional: GGA-PBE
Structure: optimized geometry

Unit cell a=11.1956 b=11.1956 c=4.1972 alpha=90.00 beta=90.00 gamma=139.53
With the nearest neighbours (Å) after each atom.
Sites, in units of the cell vectors:
Be 0.3482 0.6518 0.2500  6 Sr 3.13-3.14
Be 0.6518 0.3482 0.7500  6 Sr 3.13-3.14
Sr 0.3457 0.1748 0.2500  2 Be 3.13
Sr 0.1748 0.3457 0.7500  2 Be 3.13
Sr 0.7628 0.2372 0.2500  2 Be 3.14
Sr 0.8252 0.6543 0.2500  2 Be 3.13
Sr 0.6543 0.8252 0.7500  2 Be 3.13
Sr 0.2372 0.7628 0.7500  2 Be 3.14

Results
E above lowest polymorph = 0.0677 eV/atom
crystal system = orthorhombic
magnetic moment = 0.00 μB per atom



| no. | D(E_F) (states/eV per atom) | calculated volume (Å³ per cell) | DFT total energy (eV per atom) |
| --- | --- | --- | --- |
| 1 | 0.800 | 155.7 | -2.8562 |
| 2 | 0.985 | 53.5 | -10.0402 |
| 3 | 0.213 | 29.1 | -6.5670 |
| 4 | 1.313 | 341.5 | -1.8500 |